(1)
First-principles (GGA-PBE) data for a relaxed LiCaTa2 crystal, as listed in Alexandria via LeMat-Bulk.

Geometry as POSCAR:
```
LiCaTa2
1.0
5.066 0.010 0.003
4.238 2.776 0.003
0.455 0.136 6.116
Ca Li Ta
1 1 2
Direct
0.499 0.499 0.486 Ca
0.256 0.256 0.233 Li
0.005 0.005 0.960 Ta
0.740 0.740 0.821 Ta
```

---

(2)
First-principles (GGA-PBE) data for a relaxed LiCaTa2 crystal, as listed in Alexandria via LeMat-Bulk.

Geometry as POSCAR:
```
LiCaTa2
1.0
6.024 0.006 0.005
2.643 5.413 -0.005
-3.410 -4.187 2.670
Ca Li Ta
1 1 2
Direct
0.492 0.492 0.000 Ca
0.234 0.734 0.500 Li
0.994 0.994 0.000 Ta
0.780 0.280 0.500 Ta
```

---

(3)
First-principles (GGA-PBE) data for a relaxed LiCaTa2 crystal, as listed in Alexandria via LeMat-Bulk.

Geometry as POSCAR:
```
LiCaTa2
1.0
4.831 0.000 0.000
2.415 4.184 0.000
2.415 1.395 3.944
Ca Li Ta
1 1 2
Direct
0.500 0.500 0.500 Ca
0.750 0.750 0.750 Li
0.000 0.000 0.000 Ta
0.250 0.250 0.250 Ta
```

---

(4)
First-principles (GGA-PBE) data for a relaxed LiCaTa2 crystal, as listed in Alexandria via LeMat-Bulk.

Geometry as POSCAR:
```
LiCaTa2
1.0
0.000 3.399 3.399
3.399 0.000 3.399
3.399 3.399 0.000
Ca Li Ta
1 1 2
Direct
0.500 0.500 0.500 Ca
0.000 0.000 0.000 Li
0.250 0.250 0.250 Ta
0.750 0.750 0.750 Ta
```

---

(5)
First-principles (GGA-PBE) data for a relaxed LiCaTa2 crystal, as listed in Alexandria via LeMat-Bulk.

Geometry as POSCAR:
```
LiCaTa2
1.0
-0.918 -2.595 0.529
2.333 0.461 1.484
-6.004 3.805 8.256
Ca Li Ta
1 1 2
Direct
0.500 0.500 0.250 Ca
0.500 0.500 0.750 Li
0.000 0.000 0.989 Ta
0.000 0.000 0.511 Ta
```

---

(6)
First-principles (GGA-PBE) data for a relaxed LiCaTa2 crystal, as listed in Alexandria via LeMat-Bulk.

Geometry as POSCAR:
```
LiCaTa2
1.0
6.038 -0.003 0.000
-3.547 4.886 0.000
0.000 0.000 2.805
Ca Li Ta
1 1 2
Direct
0.500 0.000 0.500 Ca
0.000 0.500 0.500 Li
0.000 0.000 0.000 Ta
0.500 0.500 0.000 Ta
```

---

Quick rundown of ρ, same order as above: 7.9, 7.8, 8.5, 8.6, 8.4, 8.2 g cm⁻³
Quick rundown of ΔH_f (0 K), same order as above: 552, 721, 743, 1212, 669, 732 meV per atom